(1)
Density functional theory data (PBE) for a relaxed structure of MgNi2Br.

Summary:
Spin magnetization   0.3 μB per formula unit
DFT total energy   -3.311 eV per atom
Space group   F-43m (216)
Formation energy without anion corrections   0.396 eV/atom
Excess energy over the best structure of this formula in the dataset   419.0 meV per atom

The structure in POSCAR format:
```
MgNi2Br
1.0
-2.366 3.065 2.205
0.708 0.656 4.350
1.963 3.748 1.398
Ni Br Mg
2 1 1
Direct
0.000 0.000 0.000
0.250 0.250 0.250
0.500 0.500 0.500
0.750 0.750 0.750
```

***

(2)
Density functional theory data (PBE) for a relaxed structure of MgNiBr2.

Summary:
Spin magnetization   0.0 μB per formula unit
DFT total energy   -3.013 eV per atom
Space group   Cmm2 (35)
Formation energy without anion corrections   -0.332 eV/atom
Excess energy over the best structure of this formula in the dataset   223.0 meV per atom

The structure in POSCAR format:
```
MgNiBr2
1.0
3.865 -0.085 0.000
-1.553 3.541 0.000
0.000 0.000 7.890
Mg Ni Br
1 1 2
Direct
0.000 0.000 0.537
0.500 0.500 0.756
0.500 0.500 0.337
0.000 0.000 0.871
```

***

(3)
Density functional theory data (PBE) for a relaxed structure of MgNiBr4.

Summary:
Spin magnetization   0.4 μB per formula unit
DFT total energy   -1.552 eV per atom
Space group   F-43m (216)
Formation energy without anion corrections   0.793 eV/atom
Excess energy over the best structure of this formula in the dataset   1689.4 meV per atom

The structure in POSCAR format:
```
MgNiBr4
1.0
2.715 0.330 5.595
-3.394 -0.799 5.160
0.709 -5.152 3.426
Br Mg Ni
4 1 1
Direct
0.375 0.875 0.375
0.375 0.375 0.875
0.875 0.375 0.375
0.375 0.375 0.375
0.750 0.750 0.750
0.000 0.000 0.000
```

***

(4)
Density functional theory data (PBE) for a relaxed structure of Mg2NiBr.

Summary:
Spin magnetization   0.0 μB per formula unit
DFT total energy   -2.546 eV per atom
Space group   I4/mmm (139)
Formation energy without anion corrections   0.115 eV/atom
Excess energy over the best structure of this formula in the dataset   470.3 meV per atom

The structure in POSCAR format:
```
Mg2NiBr
1.0
5.175 -0.003 0.000
1.785 4.857 0.000
-3.480 -2.427 2.963
Ni Mg Br
1 2 1
Direct
0.250 0.750 0.500
0.500 0.500 0.000
0.000 0.000 0.000
0.750 0.250 0.500
```

***

(5)
Density functional theory data (PBE) for a relaxed structure of Mg2NiBr.

Summary:
Spin magnetization   0.0 μB per formula unit
DFT total energy   -3.005 eV per atom
Space group   P2/m (10)
Formation energy without anion corrections   -0.345 eV/atom
Excess energy over the best structure of this formula in the dataset   10.8 meV per atom

The structure in POSCAR format:
```
Mg2NiBr
1.0
3.228 0.000 0.000
0.000 3.320 -0.191
0.000 0.400 7.457
Ni Mg Br
1 2 1
Direct
0.500 0.250 0.250
0.000 0.748 0.054
0.000 0.752 0.446
0.500 0.750 0.750
```

***

(6)
Density functional theory data (PBE) for a relaxed structure of Mg2NiBr.

Summary:
Spin magnetization   0.0 μB per formula unit
DFT total energy   -2.294 eV per atom
Space group   F-43m (216)
Formation energy without anion corrections   0.367 eV/atom
Excess energy over the best structure of this formula in the dataset   721.9 meV per atom

The structure in POSCAR format:
```
Mg2NiBr
1.0
-0.206 -0.558 4.808
-0.284 -4.442 1.913
3.785 -1.856 2.387
Mg Ni Br
2 1 1
Direct
0.000 0.000 0.000
0.750 0.750 0.750
0.250 0.250 0.250
0.500 0.500 0.500
```

***

(7)
Density functional theory data (PBE) for a relaxed structure of MgNiBr2.

Summary:
Spin magnetization   0.0 μB per formula unit
DFT total energy   -2.861 eV per atom
Space group   C2/m (12)
Formation energy without anion corrections   -0.181 eV/atom
Excess energy over the best structure of this formula in the dataset   374.3 meV per atom

The structure in POSCAR format:
```
MgNiBr2
1.0
-3.898 2.427 -2.204
-0.660 -1.940 4.650
-0.518 3.200 3.907
Br Ni Mg
2 1 1
Direct
0.000 0.000 0.000
0.500 0.000 0.500
0.500 0.500 0.000
0.000 0.500 0.500
```

***

(8)
Density functional theory data (PBE) for a relaxed structure of MgNiBr2.

Summary:
Spin magnetization   0.3 μB per formula unit
DFT total energy   -2.868 eV per atom
Space group   Immm (71)
Formation energy without anion corrections   -0.187 eV/atom
Excess energy over the best structure of this formula in the dataset   368.0 meV per atom

The structure in POSCAR format:
```
MgNiBr2
1.0
5.278 -0.100 0.108
0.073 5.279 -0.108
-1.412 -3.896 3.273
Br Mg Ni
2 1 1
Direct
0.476 0.476 0.000
0.024 0.024 0.000
0.750 0.250 0.500
0.250 0.750 0.500
```

***

(9)
Density functional theory data (PBE) for a relaxed structure of MgNi2Br.

Summary:
Spin magnetization   0.9 μB per formula unit
DFT total energy   -3.711 eV per atom
Space group   Pm (6)
Formation energy without anion corrections   -0.003 eV/atom
Excess energy over the best structure of this formula in the dataset   19.6 meV per atom

The structure in POSCAR format:
```
MgNi2Br
1.0
-2.168 2.347 0.056
-2.359 -2.169 -0.418
-1.723 -1.740 6.190
Ni Br Mg
2 1 1
Direct
0.500 0.475 0.176
0.000 0.048 0.031
0.000 0.308 0.508
0.500 0.670 0.785
```

***

(10)
Density functional theory data (PBE) for a relaxed structure of Mg2NiBr.

Summary:
Spin magnetization   0.0 μB per formula unit
DFT total energy   -2.921 eV per atom
Space group   Pm (6)
Formation energy without anion corrections   -0.260 eV/atom
Excess energy over the best structure of this formula in the dataset   95.5 meV per atom

The structure in POSCAR format:
```
Mg2NiBr
1.0
3.547 0.000 0.000
0.000 3.400 0.068
0.000 1.427 7.320
Mg Br Ni
2 1 1
Direct
0.000 0.290 0.031
0.500 0.110 0.419
0.500 0.429 0.759
0.000 0.671 0.291
```

***

(11)
Density functional theory data (PBE) for a relaxed structure of MgNi2Br.

Summary:
Spin magnetization   0.0 μB per formula unit
DFT total energy   -3.410 eV per atom
Space group   I-42d (122)
Formation energy without anion corrections   0.298 eV/atom
Excess energy over the best structure of this formula in the dataset   320.4 meV per atom

The structure in POSCAR format:
```
MgNi2Br
1.0
3.769 0.000 0.000
0.000 3.769 0.000
1.884 1.884 9.157
Ni Mg Br
4 2 2
Direct
0.375 0.390 0.750
0.140 0.625 0.250
0.875 0.860 0.750
0.610 0.125 0.250
0.500 0.500 0.000
0.250 0.750 0.500
0.750 0.250 0.500
0.000 0.000 0.000
```

***

(12)
Density functional theory data (PBE) for a relaxed structure of MgNiBr2.

Summary:
Spin magnetization   0.3 μB per formula unit
DFT total energy   -2.881 eV per atom
Space group   P2/m (10)
Formation energy without anion corrections   -0.200 eV/atom
Excess energy over the best structure of this formula in the dataset   354.9 meV per atom

The structure in POSCAR format:
```
MgNiBr2
1.0
3.735 0.000 0.000
0.000 5.046 -0.022
0.000 0.198 5.097
Br Mg Ni
2 1 1
Direct
0.000 0.977 0.978
0.000 0.523 0.522
0.500 0.250 0.250
0.500 0.750 0.750
```